1.
Compound: KTlSb2C
Source: Alexandria via LeMat-Bulk
Functional: PBEsol
Structure: relaxed

Lattice parameters (Å, degrees): 4.9366 5.8622 5.8622 90.00 90.00 90.00
Last column: magnetic moment on the atom in μB.
Atoms (fractional coordinates):
C1 0.5000 0.0000 0.0000  0.93
Sb1 0.0000 0.0000 0.5000  -0.24
K1 0.0000 0.0000 0.0000  0.03
Tl1 0.5000 0.5000 0.5000  -0.02
Sb2 0.0000 0.5000 0.0000  -0.24

Computed properties:
* E_form (uncorrected): 2.00 eV per atom
* space group: No. 123
* V: 33.93 Å³ per atom


2.
Compound: PbBrN2
Source: Alexandria via LeMat-Bulk
Functional: PBEsol
Structure: relaxed

Lattice parameters (Å, degrees): 3.2383 3.2383 7.3825 77.33 77.33 60.00
Atoms (fractional coordinates):
N1 0.1141 0.1141 0.6576
Pb1 0.0000 0.0000 0.0000
N2 0.8859 0.8859 0.3424
Br1 0.5000 0.5000 0.5000

Computed properties:
* E_form (uncorrected): 1.66 eV per atom
* space group: No. 166
* energy above the most stable polymorph in this dataset: 657 meV/atom
* V: 16.22 Å³ per atom


3.
Compound: AlSb2Te
Source: Alexandria via LeMat-Bulk
Functional: PBEsol
Structure: relaxed

Lattice parameters (Å, degrees): 3.4956 3.4956 9.0544 90.00 90.00 110.53
Atoms (fractional coordinates):
Sb1 0.0000 0.0000 0.0214
Al1 0.5000 0.5000 0.2518
Sb2 0.5000 0.5000 0.7741
Te1 0.0000 0.0000 0.4526

Computed properties:
* E_form (uncorrected): 0.17 eV per atom
* space group: No. 35
* energy above the most stable polymorph in this dataset: 0 meV/atom
* V: 25.90 Å³ per atom


4.
Compound: CsTaSe3
Source: Alexandria via LeMat-Bulk
Functional: PBEsol
Structure: relaxed

Lattice parameters (Å, degrees): 6.0432 7.4772 7.4772 120.00 90.00 90.00
Atoms (fractional coordinates):
Se1 0.7533 0.1619 0.3238
Se2 0.7533 0.1619 0.8381
Se3 0.2533 0.3238 0.1619
Cs1 0.2490 0.3333 0.6667
Ta1 0.5357 0.0000 0.0000
Se4 0.2533 0.8381 0.6762
Se5 0.2533 0.8381 0.1619
Se6 0.7533 0.6762 0.8381
Cs2 0.7490 0.6667 0.3333
Ta2 0.0357 0.0000 0.0000

Computed properties:
* E_form (uncorrected): -0.97 eV per atom
* space group: No. 186
* energy above the most stable polymorph in this dataset: 8 meV/atom
* V: 29.26 Å³ per atom


5.
Compound: LiIn2Au
Source: Alexandria via LeMat-Bulk
Functional: PBEsol
Structure: relaxed

Lattice parameters (Å, degrees): 4.0643 4.3384 4.3384 90.00 90.00 90.00
Atoms (fractional coordinates):
Li1 0.5000 0.5000 0.5000
Au1 0.5000 0.0000 0.0000
In1 0.0000 0.5000 0.0000
In2 0.0000 0.0000 0.5000

Computed properties:
* space group: No. 123
* V: 19.12 Å³ per atom


6.
Compound: SrCdHg2
Source: Alexandria via LeMat-Bulk
Functional: PBEsol
Structure: relaxed

Lattice parameters (Å, degrees): 3.8766 3.8766 6.9534 90.00 90.00 90.00
Atoms (fractional coordinates):
Hg1 0.5000 0.5000 0.2249
Cd1 0.5000 0.5000 0.7926
Sr1 0.0000 0.0000 0.4921
Hg2 0.0000 0.0000 0.9904

Computed properties:
* space group: No. 99
* V: 26.12 Å³ per atom


7.
Compound: Zn2In2Sb
Source: Alexandria via LeMat-Bulk
Functional: PBEsol
Structure: relaxed

Lattice parameters (Å, degrees): 4.1455 7.2537 7.2537 90.00 90.00 90.00
Atoms (fractional coordinates):
Zn1 0.0000 0.8774 0.6226
Sb1 0.0000 0.5000 0.5000
In1 0.5000 0.6777 0.8223
In2 0.5000 0.8223 0.3223
Zn2 0.0000 0.3774 0.8774
Zn3 0.0000 0.1226 0.3774
Zn4 0.0000 0.6226 0.1226
In3 0.5000 0.1777 0.6777
In4 0.5000 0.3223 0.1777
Sb2 0.0000 0.0000 0.0000

Computed properties:
* E_form (uncorrected): 0.08 eV per atom
* space group: No. 127
* V: 21.81 Å³ per atom


8.
Compound: Lu3Mg2MnS8
Source: Alexandria via LeMat-Bulk
Functional: PBEsol
Structure: relaxed

Lattice parameters (Å, degrees): 7.5106 7.5106 7.5106 60.85 60.85 60.85
Last column: magnetic moment on the atom in μB.
Atoms (fractional coordinates):
S1 0.2556 0.2556 0.2556  0.00
Mg1 0.8763 0.8763 0.8763  -0.01
S2 0.2740 0.7319 0.7319  0.00
Lu1 0.5000 0.0000 0.5000  -0.02
Lu2 0.5000 0.5000 0.0000  -0.02
S3 0.7319 0.2740 0.7319  0.00
Mg2 0.1237 0.1237 0.1237  -0.01
S4 0.7260 0.2681 0.2681  0.00
S5 0.7444 0.7444 0.7444  0.00
S6 0.2681 0.2681 0.7260  0.00
Lu3 0.0000 0.5000 0.5000  -0.02
S7 0.7319 0.7319 0.2740  0.00
S8 0.2681 0.7260 0.2681  0.00
Mn1 0.5000 0.5000 0.5000  -3.65

Computed properties:
* E_form (uncorrected): -1.58 eV per atom
* space group: No. 166
* V: 21.81 Å³ per atom


9.
Compound: K2Os
Source: Alexandria via LeMat-Bulk
Functional: PBEsol
Structure: relaxed

Lattice parameters (Å, degrees): 2.9277 2.9277 9.5573 90.00 90.00 120.00
Atoms (fractional coordinates):
K1 0.3333 0.6667 0.2811
K2 0.6667 0.3333 0.7189
Os1 0.0000 0.0000 0.0000

Computed properties:
* space group: No. 164
* V: 23.65 Å³ per atom


10.
Compound: ZnCdP2
Source: Alexandria via LeMat-Bulk
Functional: PBEsol
Structure: relaxed

Lattice parameters (Å, degrees): 3.6971 4.8610 4.8610 61.38 67.65 67.65
Atoms (fractional coordinates):
P1 0.2121 0.7879 0.7879
Cd1 0.0000 0.5000 0.5000
Zn1 0.5000 0.0000 0.0000
P2 0.7879 0.2121 0.2121

Computed properties:
* space group: No. 71
* energy above the most stable polymorph in this dataset: 0 meV/atom
* V: 17.19 Å³ per atom


11.
Compound: HgRhCl3
Source: Alexandria via LeMat-Bulk
Functional: PBEsol
Structure: relaxed

Lattice parameters (Å, degrees): 4.7104 4.7104 4.7104 90.00 90.00 90.00
Atoms (fractional coordinates):
Cl1 0.5000 0.0000 0.0000
Rh1 0.0000 0.0000 0.0000
Hg1 0.5000 0.5000 0.5000
Cl2 0.0000 0.0000 0.5000
Cl3 0.0000 0.5000 0.0000

Computed properties:
* E_form (uncorrected): -0.22 eV per atom
* space group: No. 221
* energy above the most stable polymorph in this dataset: 0 meV/atom
* V: 20.90 Å³ per atom


12.
Compound: Y3IrI3
Source: Alexandria via LeMat-Bulk
Functional: PBEsol
Structure: relaxed

Lattice parameters (Å, degrees): 4.1765 8.6181 11.9872 94.30 90.00 90.00
Atoms (fractional coordinates):
Y1 0.2500 0.9021 0.6775
I1 0.7500 0.5665 0.1356
Ir1 0.7500 0.0471 0.0929
I2 0.2500 0.4335 0.8644
I3 0.7500 0.1496 0.6030
I4 0.7500 0.6414 0.6332
Y2 0.7500 0.1457 0.8679
I5 0.2500 0.8504 0.3970
Y3 0.7500 0.0979 0.3225
Y4 0.2500 0.2548 0.1027
I6 0.2500 0.3586 0.3668
Ir2 0.2500 0.9529 0.9071
Y5 0.7500 0.7452 0.8973
Y6 0.2500 0.8543 0.1321

Computed properties:
* E_form (uncorrected): -1.16 eV per atom
* space group: No. 11
* V: 30.73 Å³ per atom


13.
Compound: KVH2SeO7
Source: Alexandria via LeMat-Bulk
Functional: PBEsol
Structure: relaxed

Lattice parameters (Å, degrees): 7.3052 7.6153 10.6102 90.00 90.00 94.01
Atoms (fractional coordinates):
O1 0.2922 0.4202 0.4592
O2 0.9500 0.0767 0.3157
O3 0.9893 0.2409 0.5605
O4 0.0107 0.7591 0.4395
H1 0.8242 0.3802 0.3332
O5 0.7922 0.9202 0.0408
O6 0.9582 0.4138 0.3466
O7 0.2255 0.4206 0.9539
V1 0.1643 0.2492 0.4112
V2 0.6643 0.7492 0.0888
O8 0.8845 0.1976 0.7994
O9 0.7745 0.5794 0.0461
O10 0.1155 0.8024 0.2006
O11 0.3845 0.6976 0.7006
V3 0.3357 0.2508 0.9112
O12 0.7078 0.5798 0.5408
H2 0.0289 0.4666 0.6158
Se1 0.5388 0.6390 0.8016
O13 0.0500 0.9233 0.6843
H3 0.9711 0.5334 0.3842
O14 0.0418 0.5862 0.6534
O15 0.5418 0.0862 0.8466
H4 0.6758 0.1198 0.8332
O16 0.4500 0.5767 0.1843
O17 0.4582 0.9138 0.1534
H5 0.3242 0.8802 0.1668
K1 0.0741 0.7412 0.9301
V4 0.8357 0.7508 0.5888
O18 0.5500 0.4233 0.8157
H6 0.5289 0.9666 0.8842
K2 0.4259 0.7588 0.4301
K3 0.5741 0.2412 0.5699
O19 0.6155 0.3024 0.2994
O20 0.4893 0.7409 0.9395
Se2 0.9612 0.8610 0.3016
Se3 0.0388 0.1390 0.6984
O21 0.7494 0.7327 0.7672
H7 0.4711 0.0334 0.1158
O22 0.2506 0.2673 0.2328
K4 0.9259 0.2588 0.0699
O23 0.7255 0.9206 0.5461
Se4 0.4612 0.3610 0.1984
O24 0.2078 0.0798 0.9592
O25 0.5107 0.2591 0.0605
O26 0.7506 0.7673 0.2672
O27 0.2494 0.2327 0.7328
O28 0.2745 0.0794 0.4539
H8 0.1758 0.6198 0.6668

Computed properties:
* space group: No. 14
* V: 12.27 Å³ per atom


14.
Compound: BaZrCr2
Source: Alexandria via LeMat-Bulk
Functional: PBEsol
Structure: relaxed

Lattice parameters (Å, degrees): 4.3047 4.3047 5.6586 112.36 112.36 90.00
Last column: magnetic moment on the atom in μB.
Atoms (fractional coordinates):
Cr1 0.0000 0.0000 0.0000  3.34
Zr1 0.5000 0.5000 0.0000  -0.58
Ba1 0.2500 0.7500 0.5000  -0.01
Cr2 0.7500 0.2500 0.5000  3.37

Computed properties:
* space group: No. 119
* energy above the most stable polymorph in this dataset: 486 meV/atom
* V: 22.10 Å³ per atom


15.
Compound: KOs2Rh
Source: Alexandria via LeMat-Bulk
Functional: PBEsol
Structure: relaxed

Lattice parameters (Å, degrees): 2.6765 3.7660 7.6471 90.00 90.10 90.00
Atoms (fractional coordinates):
Os1 0.5009 0.5000 0.7591
K1 0.4977 0.5000 0.2553
Os2 0.0014 0.0000 0.9089
Rh1 0.0000 0.0000 0.5767

Computed properties:
* space group: No. 6
* energy above the most stable polymorph in this dataset: 72 meV/atom
* V: 19.27 Å³ per atom


16.
Compound: Ba3Ta2S8
Source: Alexandria via LeMat-Bulk
Functional: PBEsol
Structure: relaxed

Lattice parameters (Å, degrees): 6.7963 11.8319 12.5333 108.80 90.00 90.00
Atoms (fractional coordinates):
Ba1 0.5000 0.8166 0.0359
Ta1 0.0000 0.0000 0.0000
Ba2 0.5000 0.7207 0.6556
Ta2 0.5000 0.7344 0.3246
Ta3 0.5000 0.0000 0.5000
S1 0.0000 0.3219 0.3692
S2 0.5000 0.9459 0.2985
S3 0.5000 0.5743 0.3940
Ba3 0.0000 0.9547 0.3089
Ba4 0.0000 0.4064 0.6357
S4 0.7559 0.0906 0.1462
S5 0.7559 0.9094 0.8538
S6 0.7482 0.1544 0.5161
S7 0.7538 0.6877 0.1973
S8 0.0000 0.8178 0.0453
S9 0.0000 0.6781 0.6308
S10 0.7404 0.3867 0.1551
S11 0.2441 0.0906 0.1462
Ta4 0.0000 0.2697 0.1727
Ba5 0.0000 0.5936 0.3643
S12 0.2441 0.9094 0.8538
S13 0.2462 0.6877 0.1973
Ta5 0.5000 0.2656 0.6754
Ta6 0.0000 0.7303 0.8273
S14 0.2596 0.6133 0.8449
Ba6 0.0000 0.0453 0.6911
S15 0.0000 0.1822 0.9547
S16 0.5000 0.4257 0.6060
S17 0.2518 0.8456 0.4839
S18 0.7404 0.6133 0.8449
S19 0.2462 0.3123 0.8027
S20 0.5000 0.0541 0.7015
S21 0.2596 0.3867 0.1551
S22 0.7538 0.3123 0.8027
Ba7 0.5000 0.2793 0.3444
Ba8 0.5000 0.1834 0.9641
S23 0.2518 0.1544 0.5161
S24 0.7482 0.8456 0.4839
Ba9 0.0000 0.5000 0.0000

Computed properties:
* E_form (uncorrected): -1.57 eV per atom
* space group: No. 10
* V: 24.46 Å³ per atom


17.
Compound: Y2Mg
Source: Alexandria via LeMat-Bulk
Functional: PBEsol
Structure: relaxed

Lattice parameters (Å, degrees): 3.1842 5.4533 5.4533 120.00 90.00 90.00
Atoms (fractional coordinates):
Y1 0.0000 0.3333 0.6667
Mg1 0.5000 0.0000 0.0000
Y2 0.0000 0.6667 0.3333

Computed properties:
* space group: No. 191
* V: 27.34 Å³ per atom


18.
Compound: LaTcP4
Source: Alexandria via LeMat-Bulk
Functional: PBEsol
Structure: relaxed

Lattice parameters (Å, degrees): 5.1742 5.1742 5.1742 60.00 60.00 60.00
Atoms (fractional coordinates):
P1 0.8567 0.3811 0.3811
La1 0.0000 0.0000 0.0000
P2 0.3811 0.8567 0.3811
Tc1 0.7500 0.7500 0.7500
P3 0.3811 0.3811 0.3811
P4 0.3811 0.3811 0.8567

Computed properties:
* space group: No. 216
* V: 16.32 Å³ per atom


19.
Compound: CdInFe2
Source: Alexandria via LeMat-Bulk
Functional: PBEsol
Structure: relaxed

Lattice parameters (Å, degrees): 2.8110 4.8252 4.8252 109.05 90.00 90.00
Last column: magnetic moment on the atom in μB.
Atoms (fractional coordinates):
In1 0.5000 0.5000 0.5000  -0.08
Fe1 0.0000 0.0000 0.5000  2.50
Cd1 0.5000 0.0000 0.0000  -0.05
Fe2 0.0000 0.5000 0.0000  2.50

Computed properties:
* space group: No. 65
* V: 15.47 Å³ per atom


20.
Compound: LaCuH2
Source: Alexandria via LeMat-Bulk
Functional: PBEsol
Structure: relaxed

Lattice parameters (Å, degrees): 4.3851 4.3851 5.9886 111.48 111.48 90.00
Atoms (fractional coordinates):
La1 0.0000 0.0000 0.0000
H1 0.1250 0.4441 0.7500
Cu1 0.7500 0.2500 0.5000
La2 0.2500 0.7500 0.5000
H2 0.5559 0.3750 0.2500
Cu2 0.5000 0.5000 0.0000
H3 0.6250 0.3059 0.7500
H4 0.6941 0.8750 0.2500

Computed properties:
* space group: No. 122
* V: 12.31 Å³ per atom


Number 1: electronic total energy -12.5 eV for the cell shown, magnetization 0.152 μB/atom, calculated density 4.9 g cm⁻³. Number 2: electronic total energy -16.3 eV for the cell shown, magnetization 0.000 μB/atom, calculated density 8.1 g cm⁻³. Number 3: electronic total energy -16.1 eV for the cell shown, magnetization 0.000 μB/atom, calculated density 6.4 g cm⁻³. Number 4: electronic total energy -59.8 eV for the cell shown, magnetization 0.000 μB/atom, calculated density 6.3 g cm⁻³. Number 5: electronic total energy -13.0 eV for the cell shown, magnetization 0.000 μB/atom, calculated density 9.4 g cm⁻³. Number 6: electronic total energy -5.4 eV for the cell shown, magnetization 0.000 μB/atom, calculated density 9.6 g cm⁻³. Number 7: electronic total energy -26.5 eV for the cell shown, magnetization 0.000 μB/atom, calculated density 7.3 g cm⁻³. Number 8: electronic total energy -85.0 eV for the cell shown, magnetization 0.286 μB/atom, calculated density 4.8 g cm⁻³. Number 9: electronic total energy -10.2 eV for the cell shown, magnetization 0.001 μB/atom, calculated density 6.3 g cm⁻³. Number 10: electronic total energy -13.0 eV for the cell shown, magnetization 0.000 μB/atom, calculated density 5.8 g cm⁻³. Number 11: electronic total energy -15.8 eV for the cell shown, magnetization 0.000 μB/atom, calculated density 6.5 g cm⁻³. Number 12: electronic total energy -87.4 eV for the cell shown, magnetization 0.000 μB/atom, calculated density 6.5 g cm⁻³. Number 13: electronic total energy -300.6 eV for the cell shown, magnetization 0.000 μB/atom, calculated density 3.2 g cm⁻³. Number 14: electronic total energy -27.0 eV for the cell shown, magnetization 1.640 μB/atom, calculated density 6.2 g cm⁻³. Number 15: electronic total energy -30.6 eV for the cell shown, magnetization 0.000 μB/atom, calculated density 11.3 g cm⁻³. Number 16: electronic total energy -261.1 eV for the cell shown, magnetization 0.000 μB/atom, calculated density 5.4 g cm⁻³. Number 17: electronic total energy -15.0 eV for the cell shown, magnetization 0.000 μB/atom, calculated density 4.1 g cm⁻³. Number 18: electronic total energy -38.4 eV for the cell shown, magnetization 0.000 μB/atom, calculated density 6.1 g cm⁻³. Number 19: electronic total energy -20.7 eV for the cell shown, magnetization 1.216 μB/atom, calculated density 9.1 g cm⁻³. Number 20: electronic total energy -34.0 eV for the cell shown, magnetization 0.000 μB/atom, calculated density 6.9 g cm⁻³.